[1]
The following is a PBE calculation of a relaxed Rb3CdAu8 crystal, from the Alexandria database. Values from VASP.

Cell and atoms, written as Quantum ESPRESSO input:
```
&SYSTEM
  ibrav = 0, nat = 12, ntyp = 3
/
ATOMIC_SPECIES
Rb 85.47 Rb.upf
Cd 112.41 Cd.upf
Au 196.97 Au.upf
ATOMIC_POSITIONS angstrom
Rb 0.0000 0.0000 0.0000
Rb 0.0000 0.0000 3.6499
Rb 0.0000 0.0000 14.5301
Cd 0.0000 0.0000 18.1601
Au -1.4740 -0.8510 11.4046
Au 0.0000 -1.6885 6.7266
Au -1.4622 0.8442 6.7266
Au 0.0000 0.0000 9.0599
Au 1.4740 -0.8510 11.4046
Au 0.0000 1.7020 11.4046
Au 1.4622 0.8442 6.7266
Au 0.0000 0.0000 23.5614
CELL_PARAMETERS angstrom
2.9109 1.6806 9.6591
-2.9109 1.6806 9.6591
0.0000 -3.3612 9.6591
```

Values from the calculation:
Symmetry = R3m
Total magnetic moment = 0.000 μB per atom
Formation enthalpy at 0 K = -0.151 eV per atom

***

[2]
The following is a PBE calculation of a relaxed RbAg2Sn crystal, from the Alexandria database. Values from VASP.

Cell and atoms, written as Quantum ESPRESSO input:
```
&SYSTEM
  ibrav = 0, nat = 4, ntyp = 3
/
ATOMIC_SPECIES
Rb 85.47 Rb.upf
Ag 107.87 Ag.upf
Sn 118.71 Sn.upf
ATOMIC_POSITIONS angstrom
Rb 0.0000 0.0000 0.0000
Ag 0.0000 0.0000 3.5095
Ag 0.0000 0.0000 15.6208
Sn 0.0000 0.0000 9.5651
CELL_PARAMETERS angstrom
2.4464 1.4124 6.3767
-2.4464 1.4124 6.3767
0.0000 -2.8248 6.3767
```

Values from the calculation:
Symmetry = R-3m
Total magnetic moment = 0.000 μB per atom
Formation enthalpy at 0 K = -0.072 eV per atom

***

[3]
The following is a PBE calculation of a relaxed LiB2Br8 crystal, from the Alexandria database. Values from VASP.

Cell and atoms, written as Quantum ESPRESSO input:
```
&SYSTEM
  ibrav = 0, nat = 11, ntyp = 3
/
ATOMIC_SPECIES
Li 6.94 Li.upf
B 10.81 B.upf
Br 79.90 Br.upf
ATOMIC_POSITIONS angstrom
Li 0.0000 0.0000 0.0000
B 2.1222 0.0000 2.4278
B 7.9502 0.0000 3.7113
Br 3.4386 4.2546 4.5246
Br 2.0377 0.0000 4.4237
Br 6.6337 4.2546 1.6145
Br 4.1227 0.0000 1.8694
Br 5.9496 0.0000 4.2697
Br 3.4386 -4.2546 4.5246
Br 8.0347 0.0000 1.7154
Br 6.6337 -4.2546 1.6145
CELL_PARAMETERS angstrom
5.3504 -5.9110 0.0000
5.3504 5.9110 0.0000
-0.6285 0.0000 6.1391
```

Values from the calculation:
Symmetry = C2/m
Total magnetic moment = 0.096 μB per atom
Formation energy (no corrections) = -558 meV per atom

***

[4]
The following is a PBE calculation of a relaxed Na3Sr4Li crystal, from the Alexandria database. Values from VASP.

Cell and atoms, written as Quantum ESPRESSO input:
```
&SYSTEM
  ibrav = 0, nat = 8, ntyp = 3
/
ATOMIC_SPECIES
Na 22.99 Na.upf
Sr 87.62 Sr.upf
Li 6.94 Li.upf
ATOMIC_POSITIONS angstrom
Na 0.0000 0.0000 0.0000
Na 0.0000 0.0000 4.6447
Na 0.0000 0.0000 13.3620
Sr 2.2049 2.2049 2.3140
Sr 2.2049 2.2049 6.9657
Sr 2.2049 2.2049 11.0410
Sr 2.2049 2.2049 15.6927
Li 0.0000 0.0000 9.0034
CELL_PARAMETERS angstrom
4.4098 0.0000 0.0000
0.0000 4.4098 0.0000
0.0000 0.0000 18.0067
```

Values from the calculation:
Symmetry = P4/mmm
Total magnetic moment = 0.000 μB per atom
Energy above the lowest structure with this stoichiometry = 0.0 meV/atom
Formation enthalpy at 0 K = 0.026 eV per atom

***

[5]
The following is a PBE calculation of a relaxed Ac8HoTl6 crystal, from the Alexandria database. Values from VASP.

Cell and atoms, written as Quantum ESPRESSO input:
```
&SYSTEM
  ibrav = 0, nat = 15, ntyp = 3
/
ATOMIC_SPECIES
Ac 227.00 Ac.upf
Ho 164.93 Ho.upf
Tl 204.38 Tl.upf
ATOMIC_POSITIONS angstrom
Ac -3.3301 -0.0197 8.1726
Ac 0.0000 0.0000 3.4468
Ac -1.6480 -2.8938 12.8926
Ac 1.6821 -2.8742 8.1726
Ac -1.6821 2.8741 12.8926
Ac 1.6480 2.8938 8.1726
Ac 0.0000 0.0000 17.6183
Ac 3.3301 0.0197 12.8926
Ho 0.0000 0.0000 10.5326
Tl -1.5469 -2.6728 9.3518
Tl -3.0881 0.0033 11.7133
Tl -1.5412 2.6761 9.3518
Tl 1.5412 -2.6761 11.7133
Tl 3.0881 -0.0033 9.3518
Tl 1.5469 2.6728 11.7133
CELL_PARAMETERS angstrom
4.8937 2.8254 7.0217
-4.8937 2.8254 7.0217
0.0000 -5.6507 7.0217
```

Values from the calculation:
Symmetry = R-3
Total magnetic moment = 0.000 μB per atom
Formation enthalpy at 0 K = -0.161 eV per atom

***

[6]
The following is a PBE calculation of a relaxed NdIn6Hg12 crystal, from the Alexandria database. Values from VASP.

Cell and atoms, written as Quantum ESPRESSO input:
```
&SYSTEM
  ibrav = 0, nat = 19, ntyp = 3
/
ATOMIC_SPECIES
Nd 144.24 Nd.upf
In 114.82 In.upf
Hg 200.59 Hg.upf
ATOMIC_POSITIONS angstrom
Nd 0.0000 0.0000 0.0000
In -3.6770 -0.3919 2.9092
In 2.1779 -2.9884 2.9092
In -1.4991 -3.3804 5.4541
In 1.4991 3.3804 2.9092
In -2.1779 2.9884 5.4541
In 3.6770 0.3919 5.4541
Hg -0.4761 -4.9950 2.7836
Hg -4.0878 2.9098 2.7836
Hg -0.7705 -1.7575 2.7260
Hg -4.5638 -2.0852 5.5797
Hg -1.1369 1.5460 2.7260
Hg 1.9073 0.2115 2.7260
Hg -1.9073 -0.2115 5.6373
Hg 1.1368 -1.5460 5.6373
Hg 4.5638 2.0852 2.7836
Hg 0.7705 1.7575 5.6373
Hg 4.0878 -2.9098 5.5797
Hg 0.4761 4.9950 5.5797
CELL_PARAMETERS angstrom
7.1767 4.1435 2.7878
-7.1767 4.1435 2.7878
0.0000 -8.2869 2.7878
```

Values from the calculation:
Symmetry = R-3
Total magnetic moment = 0.000 μB per atom
Energy above the lowest structure with this stoichiometry = 0.0 meV/atom
Formation enthalpy at 0 K = -0.071 eV per atom

***

[7]
The following is a PBE calculation of a relaxed TbPuSc2 crystal, from the Alexandria database. Values from VASP.

Cell and atoms, written as Quantum ESPRESSO input:
```
&SYSTEM
  ibrav = 0, nat = 4, ntyp = 3
/
ATOMIC_SPECIES
Tb 158.93 Tb.upf
Pu 244.00 Pu.upf
Sc 44.96 Sc.upf
ATOMIC_POSITIONS angstrom
Tb 0.0000 0.0000 0.0000
Pu 0.0000 0.0000 4.6644
Sc 1.6869 1.6869 2.4258
Sc 1.6869 1.6869 6.9030
CELL_PARAMETERS angstrom
3.3738 0.0000 0.0000
0.0000 3.3738 0.0000
0.0000 0.0000 9.3288
```

Values from the calculation:
Symmetry = P4/mmm
Total magnetic moment = 1.529 μB per atom
Energy above the lowest structure with this stoichiometry = 0.0 meV/atom
Formation enthalpy at 0 K = 0.101 eV per atom

***

[8]
The following is a PBE calculation of a relaxed HfTi2Al3 crystal, from the Alexandria database. Values from VASP.

Cell and atoms, written as Quantum ESPRESSO input:
```
&SYSTEM
  ibrav = 0, nat = 6, ntyp = 3
/
ATOMIC_SPECIES
Hf 178.49 Hf.upf
Ti 47.87 Ti.upf
Al 26.98 Al.upf
ATOMIC_POSITIONS angstrom
Hf 0.0000 0.0000 0.0000
Ti 2.0308 2.0929 0.0000
Ti 2.0308 -2.0929 0.0000
Al 2.0308 4.0444 2.0594
Al 2.0308 0.0000 2.0594
Al 2.0308 -4.0444 2.0594
CELL_PARAMETERS angstrom
2.0308 -6.1230 0.0000
2.0308 6.1230 0.0000
0.0000 0.0000 4.1188
```

Values from the calculation:
Symmetry = Cmmm
Total magnetic moment = 0.000 μB per atom
Energy above the lowest structure with this stoichiometry = 0.0 meV/atom
Formation enthalpy at 0 K = -0.384 eV per atom

***

[9]
The following is a PBE calculation of a relaxed MgAl2FeAg crystal, from the Alexandria database. Values from VASP.

Cell and atoms, written as Quantum ESPRESSO input:
```
&SYSTEM
  ibrav = 0, nat = 5, ntyp = 4
/
ATOMIC_SPECIES
Mg 24.30 Mg.upf
Al 26.98 Al.upf
Fe 55.84 Fe.upf
Ag 107.87 Ag.upf
ATOMIC_POSITIONS angstrom
Mg 0.0000 0.0000 0.0000
Al 0.0000 2.4760 0.0000
Al 2.4760 0.0000 0.0000
Fe 2.4760 2.4760 2.4113
Ag 0.0000 0.0000 2.4113
CELL_PARAMETERS angstrom
4.9520 0.0000 0.0000
0.0000 4.9520 0.0000
0.0000 0.0000 4.8227
```

Values from the calculation:
Symmetry = P4/mmm
Total magnetic moment = 0.671 μB per atom
Formation enthalpy at 0 K = 1.239 eV per atom

***

[10]
The following is a PBE calculation of a relaxed Rb2GeH6 crystal, from the Alexandria database. Values from VASP.

Cell and atoms, written as Quantum ESPRESSO input:
```
&SYSTEM
  ibrav = 0, nat = 18, ntyp = 3
/
ATOMIC_SPECIES
Rb 85.47 Rb.upf
Ge 72.64 Ge.upf
H 1.01 H.upf
ATOMIC_POSITIONS angstrom
Rb 0.0000 0.0000 1.8191
Rb 0.0000 0.0000 9.2002
Rb 2.7044 2.7044 3.6906
Rb 2.7044 2.7044 7.3288
Ge 0.0000 0.0000 5.5097
Ge 2.7044 2.7044 0.0000
H 0.8437 0.8437 4.2884
H 0.8437 0.8437 6.7310
H 1.1934 4.2154 5.5097
H 1.5110 1.5110 0.0000
H 1.8607 3.5481 1.2213
H 1.8607 3.5481 9.7981
H 3.5481 1.8607 1.2213
H 3.5481 1.8607 9.7981
H 3.8978 3.8978 0.0000
H 4.2154 1.1934 5.5097
H 4.5651 4.5651 4.2884
H 4.5651 4.5651 6.7310
CELL_PARAMETERS angstrom
5.4088 0.0000 0.0000
0.0000 5.4088 0.0000
0.0000 0.0000 11.0194
```

Values from the calculation:
Symmetry = P4_2/mnm
Total magnetic moment = 0.000 μB per atom

***

[11]
The following is a PBE calculation of a relaxed KSr3H crystal, from the Alexandria database. Values from VASP.

Cell and atoms, written as Quantum ESPRESSO input:
```
&SYSTEM
  ibrav = 0, nat = 5, ntyp = 3
/
ATOMIC_SPECIES
K 39.10 K.upf
Sr 87.62 Sr.upf
H 1.01 H.upf
ATOMIC_POSITIONS angstrom
K 0.0000 0.0000 0.0000
Sr 0.0000 2.9666 2.9666
Sr 2.9666 0.0000 2.9666
Sr 2.9666 2.9666 0.0000
H 2.9666 2.9666 2.9666
CELL_PARAMETERS angstrom
5.9333 0.0000 0.0000
0.0000 5.9333 0.0000
0.0000 0.0000 5.9333
```

Values from the calculation:
Symmetry = Pm-3m
Total magnetic moment = 0.000 μB per atom

***

[12]
The following is a PBE calculation of a relaxed CaTlAu4 crystal, from the Alexandria database. Values from VASP.

Cell and atoms, written as Quantum ESPRESSO input:
```
&SYSTEM
  ibrav = 0, nat = 6, ntyp = 3
/
ATOMIC_SPECIES
Ca 40.08 Ca.upf
Tl 204.38 Tl.upf
Au 196.97 Au.upf
ATOMIC_POSITIONS angstrom
Ca 0.0000 0.0000 0.0000
Tl 6.0302 6.0302 6.0302
Au 3.0136 3.0136 3.0136
Au 5.0267 5.0267 3.0136
Au 5.0267 3.0136 5.0267
Au 3.0136 5.0267 5.0267
CELL_PARAMETERS angstrom
0.0000 4.0201 4.0201
4.0201 0.0000 4.0201
4.0201 4.0201 0.0000
```

Values from the calculation:
Symmetry = F-43m
Total magnetic moment = 0.000 μB per atom
Formation enthalpy at 0 K = -0.373 eV per atom

***

no.,final energy (Ha/atom)
1,-0.09752
2,-0.10069
3,-0.11623
4,-0.05692
5,-0.13245
6,-0.05060
7,-0.28683
8,-0.24056
9,-0.10437
10,-0.10720
11,-0.06988
12,-0.12074